The following is a DFT calculation (meta-GGA SCAN) of a crystal of Mg2MnSb2 relaxed with PBEsol.

CIF file:
```
data_Mg2MnSb2
_cell_length_a 4.9220
_cell_length_b 4.9220
_cell_length_c 11.0392
_cell_angle_alpha 90.00
_cell_angle_beta 90.00
_cell_angle_gamma 90.00
_symmetry_space_group_name_H-M 'I 4/m m m'
_symmetry_Int_Tables_number 139
_symmetry_space_group_name_Hall '-I 4 2'
loop_
_atom_site_label
_atom_site_type_symbol
_atom_site_fract_x
_atom_site_fract_y
_atom_site_fract_z
_atom_site_occupancy
Mg1 Mg 0.0000 0.5000 0.2500 1
Mn1 Mn 0.0000 0.0000 0.0000 1
Sb1 Sb 0.0000 0.0000 0.3747 1
```

## Properties
As for the raw formation energy: 124 meV/atom.

The following is a DFT calculation (meta-GGA SCAN) of a crystal of Er4CdIr relaxed with PBEsol.

CIF file:
```
data_Er4CdIr
_cell_length_a 13.2573
_cell_length_b 13.2573
_cell_length_c 13.2573
_cell_angle_alpha 90.00
_cell_angle_beta 90.00
_cell_angle_gamma 90.00
_symmetry_space_group_name_H-M 'F -4 3 m'
_symmetry_Int_Tables_number 216
_symmetry_space_group_name_Hall 'F -4 2 3'
loop_
_atom_site_label
_atom_site_type_symbol
_atom_site_fract_x
_atom_site_fract_y
_atom_site_fract_z
_atom_site_occupancy
Er1 Er 0.0000 0.0000 0.1882 1
Er2 Er 0.0596 0.2500 0.7500 1
Er3 Er 0.1000 0.1000 0.4000 1
Cd1 Cd 0.1692 0.1692 0.1692 1
Ir1 Ir 0.1080 0.1080 0.6080 1
```

## Properties
As for the formation energy: -0.6754 eV per atom.

The following is a DFT calculation (meta-GGA SCAN) of a crystal of SbAu2 relaxed with PBEsol.

CIF file:
```
data_SbAu2
_cell_length_a 6.4502
_cell_length_b 6.4502
_cell_length_c 6.4502
_cell_angle_alpha 90.00
_cell_angle_beta 90.00
_cell_angle_gamma 90.00
_symmetry_space_group_name_H-M 'F m -3 m'
_symmetry_Int_Tables_number 225
_symmetry_space_group_name_Hall '-F 4 2 3'
loop_
_atom_site_label
_atom_site_type_symbol
_atom_site_fract_x
_atom_site_fract_y
_atom_site_fract_z
_atom_site_occupancy
Sb1 Sb 0.0000 0.0000 0.0000 1
Au1 Au 0.2500 0.2500 0.2500 1
```

## Properties
As for the raw formation energy: 43 meV/atom.

The following is a DFT calculation (meta-GGA SCAN) of a crystal of CsRb3Cd relaxed with PBEsol.

CIF file:
```
data_CsRb3Cd
_cell_length_a 8.5077
_cell_length_b 8.5077
_cell_length_c 8.5077
_cell_angle_alpha 90.00
_cell_angle_beta 90.00
_cell_angle_gamma 90.00
_symmetry_space_group_name_H-M 'P m -3 m'
_symmetry_Int_Tables_number 221
_symmetry_space_group_name_Hall '-P 4 2 3'
loop_
_atom_site_label
_atom_site_type_symbol
_atom_site_fract_x
_atom_site_fract_y
_atom_site_fract_z
_atom_site_occupancy
Cs1 Cs 0.0000 0.0000 0.0000 1
Rb1 Rb 0.0000 0.0000 0.5000 1
Cd1 Cd 0.5000 0.5000 0.5000 1
```

## Properties
The value obtained for the energy above the most stable polymorph in this dataset is 0.4419 eV/atom. As for the formation energy: 0.4627 eV per atom.

The following is a DFT calculation (meta-GGA SCAN) of a crystal of ZnTcP2 relaxed with PBEsol.

CIF file:
```
data_ZnTcP2
_cell_length_a 3.2382
_cell_length_b 2.9487
_cell_length_c 12.7507
_cell_angle_alpha 90.00
_cell_angle_beta 90.00
_cell_angle_gamma 90.00
_symmetry_space_group_name_H-M 'A m m 2'
_symmetry_Int_Tables_number 38
loop_
_symmetry_equiv_pos_as_xyz
'x,y,z'
'-x,-y,z'
'-x,y,z'
'x,-y,z'
'x,y+1/2,z+1/2'
'-x,-y+1/2,z+1/2'
'-x,y+1/2,z+1/2'
'x,-y+1/2,z+1/2'
loop_
_atom_site_label
_atom_site_type_symbol
_atom_site_fract_x
_atom_site_fract_y
_atom_site_fract_z
_atom_site_occupancy
Zn1 Zn 0.0000 0.0000 0.0000 1
Tc1 Tc 0.5000 0.0000 0.7650 1
P1 P 0.0000 0.0000 0.1832 1
P2 P 0.5000 0.0000 0.4111 1
```

## Properties
As for the formation energy: -0.1753 eV per atom.

The following is a DFT calculation (meta-GGA SCAN) of a crystal of RbPrF4 relaxed with PBEsol.

CIF file:
```
data_RbPrF4
_cell_length_a 6.3406
_cell_length_b 3.7693
_cell_length_c 16.0399
_cell_angle_alpha 90.00
_cell_angle_beta 90.00
_cell_angle_gamma 90.00
_symmetry_space_group_name_H-M 'P n m a'
_symmetry_Int_Tables_number 62
loop_
_symmetry_equiv_pos_as_xyz
'x,y,z'
'-x,-y,-z'
'-x+1/2,-y,z+1/2'
'x+1/2,y,-z+1/2'
'x+1/2,-y+1/2,-z+1/2'
'-x+1/2,y+1/2,z+1/2'
'-x,y+1/2,-z'
'x,-y+1/2,z'
loop_
_atom_site_label
_atom_site_type_symbol
_atom_site_fract_x
_atom_site_fract_y
_atom_site_fract_z
_atom_site_occupancy
Rb1 Rb 0.2221 0.2500 0.2017 1
Pr1 Pr 0.2478 0.7500 0.4426 1
F1 F 0.0007 0.2500 0.0558 1
F2 F 0.0976 0.2500 0.8127 1
F3 F 0.1072 0.2500 0.3706 1
F4 F 0.1337 0.2500 0.5363 1
```

## Properties
As for the raw formation energy: -3943 meV/atom.

The following is a DFT calculation (meta-GGA SCAN) of a crystal of TaTiIr3 relaxed with PBEsol.

CIF file:
```
data_TaTiIr3
_cell_length_a 4.4617
_cell_length_b 4.4617
_cell_length_c 4.4617
_cell_angle_alpha 90.00
_cell_angle_beta 90.00
_cell_angle_gamma 90.00
_symmetry_space_group_name_H-M 'P m -3 m'
_symmetry_Int_Tables_number 221
_symmetry_space_group_name_Hall '-P 4 2 3'
loop_
_atom_site_label
_atom_site_type_symbol
_atom_site_fract_x
_atom_site_fract_y
_atom_site_fract_z
_atom_site_occupancy
Ta1 Ta 0.0000 0.0000 0.0000 1
Ti1 Ti 0.5000 0.5000 0.5000 1
Ir1 Ir 0.0000 0.5000 0.5000 1
```

## Properties
As for the formation energy: 1.1266 eV per atom.

The following is a DFT calculation (meta-GGA SCAN) of a crystal of K2TlBr2 relaxed with PBEsol.

CIF file:
```
data_K2TlBr2
_cell_length_a 5.4016
_cell_length_b 5.4016
_cell_length_c 13.9015
_cell_angle_alpha 90.00
_cell_angle_beta 90.00
_cell_angle_gamma 90.00
_symmetry_space_group_name_H-M 'I 4/m m m'
_symmetry_Int_Tables_number 139
_symmetry_space_group_name_Hall '-I 4 2'
loop_
_atom_site_label
_atom_site_type_symbol
_atom_site_fract_x
_atom_site_fract_y
_atom_site_fract_z
_atom_site_occupancy
K1 K 0.0000 0.5000 0.2500 1
Tl1 Tl 0.0000 0.0000 0.0000 1
Br1 Br 0.0000 0.0000 0.3675 1
```

## Properties
As for the raw formation energy: -1076 meV/atom.

The following is a DFT calculation (meta-GGA SCAN) of a crystal of CaMo4Br relaxed with PBEsol.

CIF file:
```
data_CaMo4Br
_cell_length_a 7.6105
_cell_length_b 7.6105
_cell_length_c 7.6105
_cell_angle_alpha 90.00
_cell_angle_beta 90.00
_cell_angle_gamma 90.00
_symmetry_space_group_name_H-M 'F -4 3 m'
_symmetry_Int_Tables_number 216
_symmetry_space_group_name_Hall 'F -4 2 3'
loop_
_atom_site_label
_atom_site_type_symbol
_atom_site_fract_x
_atom_site_fract_y
_atom_site_fract_z
_atom_site_occupancy
Ca1 Ca 0.0000 0.0000 0.0000 1
Mo1 Mo 0.1227 0.1227 0.3773 1
Br1 Br 0.2500 0.2500 0.7500 1
```

## Properties
As for the raw formation energy: 892 meV/atom.

The following is a DFT calculation (meta-GGA SCAN) of a crystal of BaAsOs relaxed with PBEsol.

CIF file:
```
data_BaAsOs
_cell_length_a 3.2542
_cell_length_b 3.2542
_cell_length_c 12.2300
_cell_angle_alpha 90.00
_cell_angle_beta 90.00
_cell_angle_gamma 90.00
_symmetry_space_group_name_H-M 'I 4 m m'
_symmetry_Int_Tables_number 107
_symmetry_space_group_name_Hall 'I 4 -2'
loop_
_atom_site_label
_atom_site_type_symbol
_atom_site_fract_x
_atom_site_fract_y
_atom_site_fract_z
_atom_site_occupancy
Ba1 Ba 0.0000 0.0000 0.0000 1
As1 As 0.0000 0.0000 0.2866 1
Os1 Os 0.0000 0.0000 0.6998 1
```

## Properties
As for the formation energy: 0.0283 eV per atom.

The following is a DFT calculation (meta-GGA SCAN) of a crystal of InPbBr relaxed with PBEsol.

CIF file:
```
data_InPbBr
_cell_length_a 5.3610
_cell_length_b 5.3610
_cell_length_c 3.3926
_cell_angle_alpha 90.00
_cell_angle_beta 90.00
_cell_angle_gamma 120.00
_symmetry_space_group_name_H-M 'P 3 m 1'
_symmetry_Int_Tables_number 156
loop_
_symmetry_equiv_pos_as_xyz
'x,y,z'
'-y,x-y,z'
'-x+y,-x,z'
'-y,-x,z'
'-x+y,y,z'
'x,x-y,z'
loop_
_atom_site_label
_atom_site_type_symbol
_atom_site_fract_x
_atom_site_fract_y
_atom_site_fract_z
_atom_site_occupancy
In1 In 0.0000 0.0000 0.0000 1
Pb1 Pb 0.6667 0.3333 0.4985 1
Br1 Br 0.3333 0.6667 0.5519 1
```

## Properties
As for the raw formation energy: -160 meV/atom.

The following is a DFT calculation (meta-GGA SCAN) of a crystal of Mo relaxed with PBEsol.

CIF file:
```
data_Mo
_cell_length_a 4.9901
_cell_length_b 4.9901
_cell_length_c 4.9901
_cell_angle_alpha 90.00
_cell_angle_beta 90.00
_cell_angle_gamma 90.00
_symmetry_space_group_name_H-M 'P m -3 n'
_symmetry_Int_Tables_number 223
_symmetry_space_group_name_Hall '-P 4n 2 3'
loop_
_atom_site_label
_atom_site_type_symbol
_atom_site_fract_x
_atom_site_fract_y
_atom_site_fract_z
_atom_site_occupancy
Mo1 Mo 0.0000 0.0000 0.0000 1
Mo2 Mo 0.0000 0.2500 0.5000 1
```

## Properties
The value obtained for the energy above the most stable polymorph in this dataset is 0.1061 eV/atom. As for the formation energy: 0.1061 eV per atom.